First-principles (PBE) data for a relaxed KAlPt crystal, as listed in the Open Quantum Materials Database.

a b c (Å): 6.7104 6.7104 6.7104
angles (deg): 90.00 90.00 90.00
Closest atoms and distances in Å follow each position.
Space group F-43m (No. 216)
One atom of each set of equivalent atoms:
K: 0.0000 0.0000 0.0000 [4 per cell]  4 Pt 2.91
Al: 0.0000 0.0000 0.5000 [4 per cell]  4 Pt 2.91
Pt: 0.2500 0.2500 0.7500 [4 per cell]  4 K 2.91, 4 Al 2.91

Properties
Crystal system: cubic
ΔE to the lowest computed polymorph: 0.000 eV/atom